Compound: Li6TeO6
Source: Alexandria
Functional: PBE-GGA
Structure: relaxed

a b c (Å): 5.3236 5.3236 5.3236
angles (deg): 100.79 100.79 100.79
With the nearest neighbours (Å) after each atom.
Fractional coordinates of all 13 atoms:
1 Li 0.0088 0.6451 0.3470  4 O 1.96-1.99
2 Li 0.3470 0.0088 0.6451  4 O 1.96-1.99
3 Li 0.3549 0.6530 0.9912  4 O 1.96-1.99
4 Li 0.6451 0.3470 0.0088  4 O 1.96-1.99
5 Li 0.6530 0.9912 0.3549  4 O 1.96-1.99
6 Li 0.9912 0.3549 0.6530  4 O 1.96-1.99
7 Te 0.0000 0.0000 0.0000  6 O 1.97
8 O 0.0849 0.7402 0.7325  4 Li 1.96-1.99, 1 Te 1.97
9 O 0.2598 0.2675 0.9151  4 Li 1.96-1.99, 1 Te 1.97
10 O 0.2675 0.9151 0.2598  4 Li 1.96-1.99, 1 Te 1.97
11 O 0.7325 0.0849 0.7402  4 Li 1.96-1.99, 1 Te 1.97
12 O 0.7402 0.7325 0.0849  4 Li 1.96-1.99, 1 Te 1.97
13 O 0.9151 0.2598 0.2675  4 Li 1.96-1.99, 1 Te 1.97

Output
Mass density   3.1 g/cm³
Final energy   -5.22 eV/atom
Size of the total moment   0.00 μB per atom